The following is a GGA-PBE calculation of a relaxed Rb3Ac2NdS6 crystal, from the Alexandria database.

Cell lengths 7.598, 7.598, 8.134 Å; angles 98.96, 98.96, 120.00 degrees
Positions (direct):
Rb: 0.000 0.000 0.000
Rb: 0.334 0.666 0.000
Rb: 0.666 0.334 0.000
Ac: 0.167 0.833 0.500
Ac: 0.833 0.167 0.500
Nd: 0.500 0.500 0.500
S: 0.111 0.433 0.299
S: 0.245 0.245 0.701
S: 0.433 0.111 0.299
S: 0.567 0.889 0.701
S: 0.755 0.755 0.299
S: 0.889 0.567 0.701

Summary:
Crystal system: monoclinic
SG: C2/m, No. 12
Theoretical density: 4500 kg/m³
Uncorrected energy: -62.92 eV per cell